[1]
Entry from Alexandria via LeMat-Bulk: a relaxed structure of La2SnH3 (PBE).

```
La2SnH3
1.0
7.904 -1.960 0.000
7.904 1.960 0.000
-3.022 0.000 7.319
La Sn H
4 2 6
Direct
0.031 0.031 0.278
0.298 0.298 0.318
0.702 0.702 0.682
0.969 0.969 0.722
0.370 0.370 0.967
0.630 0.630 0.033
0.095 0.095 0.617
0.193 0.193 0.479
0.431 0.431 0.570
0.569 0.569 0.430
0.807 0.807 0.521
0.905 0.905 0.383
```

The total energy comes out at -27.70 eV per formula unit. As for the density of states at the Fermi level: 0.31 states/eV/atom. As for the crystal system: monoclinic.

=====

[2]
Entry from Alexandria via LeMat-Bulk: a relaxed structure of Li3AgHg2 (PBE).

```
Li3AgHg2
1.0
3.327 0.000 0.000
0.000 3.327 0.000
0.000 0.000 9.550
Li Ag Hg
3 1 2
Direct
0.000 0.000 0.000
0.000 0.000 0.342
0.000 0.000 0.658
0.500 0.500 0.500
0.500 0.500 0.172
0.500 0.500 0.828
```

The total energy comes out at -11.03 eV per formula unit. The energy relative to the elements comes out at -0.306 eV/atom. As for the density of states at the Fermi level: 0.52 states/eV/atom. As for the crystal system: tetragonal.